First-principles (PBE) data for a relaxed structure of NaNpPd14, as listed in the Alexandria database.

CIF file:
```
data_NaNpPd14
_chemical_formula_sum 'Na1 Np1 Pd14'
_symmetry_space_group_name_H-M 'P 1'
_symmetry_Int_Tables_number 1
_cell_length_a 5.737
_cell_length_b 5.737
_cell_length_c 7.833
_cell_angle_alpha 90.00
_cell_angle_beta 90.00
_cell_angle_gamma 90.00
loop_
_symmetry_equiv_pos_as_xyz
'x,y,z'
loop_
_atom_site_label
_atom_site_type_symbol
_atom_site_fract_x
_atom_site_fract_y
_atom_site_fract_z
Pd1 Pd 0.622 0.128 0.753
Na1 Na 0.875 0.875 0.500
Pd2 Pd 0.622 0.128 0.247
Pd3 Pd 0.875 0.375 0.000
Pd4 Pd 0.875 0.375 0.500
Np1 Np 0.375 0.375 0.500
Pd5 Pd 0.622 0.622 0.753
Pd6 Pd 0.128 0.622 0.753
Pd7 Pd 0.128 0.622 0.247
Pd8 Pd 0.622 0.622 0.247
Pd9 Pd 0.375 0.875 0.500
Pd10 Pd 0.128 0.128 0.753
Pd11 Pd 0.128 0.128 0.247
Pd12 Pd 0.875 0.875 0.000
Pd13 Pd 0.375 0.875 0.000
Pd14 Pd 0.375 0.375 0.000
```

Output
DFT formation energy (eV per atom): -0.1377
Magnetic moment (Bohr magnetons per cell): 1.62
Space group: P4/mmm, No. 123

First-principles (PBE) data for a relaxed structure of Na2Np2PdS6, as listed in the Alexandria database.

CIF file:
```
data_Na2Np2PdS6
_chemical_formula_sum 'Na2 Np2 Pd1 S6'
_symmetry_space_group_name_H-M 'P 1'
_symmetry_Int_Tables_number 1
_cell_length_a 6.661
_cell_length_b 6.661
_cell_length_c 7.114
_cell_angle_alpha 98.08
_cell_angle_beta 98.08
_cell_angle_gamma 120.89
loop_
_symmetry_equiv_pos_as_xyz
'x,y,z'
loop_
_atom_site_label
_atom_site_type_symbol
_atom_site_fract_x
_atom_site_fract_y
_atom_site_fract_z
S1 S 0.070 0.415 0.723
Pd1 Pd 0.000 0.000 0.500
S2 S 0.244 0.244 0.295
Np1 Np 0.667 0.333 0.500
S3 S 0.585 0.930 0.277
Np2 Np 0.333 0.667 0.500
S4 S 0.415 0.070 0.723
Na1 Na 0.161 0.839 0.000
S5 S 0.930 0.585 0.277
S6 S 0.756 0.756 0.705
Na2 Na 0.839 0.161 0.000
```

Output
E_form (uncorrected) (eV per formula unit): -11.64
Magnetic moment (Bohr magnetons per cell): 5.99
Space group: C2/m, No. 12

First-principles (PBE) data for a relaxed structure of Na3Np3PdS8, as listed in the Alexandria database.

CIF file:
```
data_Na3Np3PdS8
_chemical_formula_sum 'Na3 Np3 Pd1 S8'
_symmetry_space_group_name_H-M 'P 1'
_symmetry_Int_Tables_number 1
_cell_length_a 7.747
_cell_length_b 7.740
_cell_length_c 8.101
_cell_angle_alpha 118.50
_cell_angle_beta 90.00
_cell_angle_gamma 120.03
loop_
_symmetry_equiv_pos_as_xyz
'x,y,z'
loop_
_atom_site_label
_atom_site_type_symbol
_atom_site_fract_x
_atom_site_fract_y
_atom_site_fract_z
Na1 Na 0.000 0.500 0.000
S1 S 0.763 0.020 0.283
S2 S 0.237 0.980 0.717
S3 S 0.744 0.487 0.731
Pd1 Pd 0.000 0.000 0.500
S4 S 0.236 0.472 0.716
Na2 Na 0.500 0.500 0.000
S5 S 0.257 0.020 0.283
S6 S 0.743 0.980 0.717
S7 S 0.764 0.528 0.284
S8 S 0.256 0.513 0.269
Np1 Np 0.500 0.500 0.500
Np2 Np 0.000 0.500 0.500
Np3 Np 0.500 0.000 0.500
Na3 Na 0.000 0.000 0.000
```

Output
E_form (uncorrected) (eV per formula unit): -17.08
Magnetic moment (Bohr magnetons per cell): 9.70
Space group: C2/m, No. 12

First-principles (PBE) data for a relaxed structure of NaNp2Pd2S4, as listed in the Alexandria database.

CIF file:
```
data_NaNp2Pd2S4
_chemical_formula_sum 'Na1 Np2 Pd2 S4'
_symmetry_space_group_name_H-M 'P 1'
_symmetry_Int_Tables_number 1
_cell_length_a 3.658
_cell_length_b 7.239
_cell_length_c 7.186
_cell_angle_alpha 111.74
_cell_angle_beta 90.00
_cell_angle_gamma 104.64
loop_
_symmetry_equiv_pos_as_xyz
'x,y,z'
loop_
_atom_site_label
_atom_site_type_symbol
_atom_site_fract_x
_atom_site_fract_y
_atom_site_fract_z
Np1 Np 0.132 0.264 0.581
S1 S 0.789 0.577 0.727
Na1 Na 0.000 0.000 0.000
S2 S 0.211 0.423 0.273
Pd1 Pd 0.322 0.644 0.983
Pd2 Pd 0.678 0.356 0.017
Np2 Np 0.868 0.736 0.419
S3 S 0.518 0.035 0.715
S4 S 0.482 0.965 0.285
```

Output
E_form (uncorrected) (eV per formula unit): -8.56
Magnetic moment (Bohr magnetons per cell): 7.00
Space group: C2/m, No. 12

First-principles (PBE) data for a relaxed structure of NaNp4Pd3S12, as listed in the Alexandria database.

CIF file:
```
data_NaNp4Pd3S12
_chemical_formula_sum 'Na1 Np4 Pd3 S12'
_symmetry_space_group_name_H-M 'P 1'
_symmetry_Int_Tables_number 1
_cell_length_a 8.407
_cell_length_b 8.407
_cell_length_c 8.407
_cell_angle_alpha 109.47
_cell_angle_beta 109.47
_cell_angle_gamma 109.47
loop_
_symmetry_equiv_pos_as_xyz
'x,y,z'
loop_
_atom_site_label
_atom_site_type_symbol
_atom_site_fract_x
_atom_site_fract_y
_atom_site_fract_z
S1 S 0.685 0.161 0.846
Pd1 Pd 0.500 0.500 0.000
Np1 Np 0.000 0.000 0.500
S2 S 0.839 0.154 0.315
Np2 Np 0.500 0.500 0.500
S3 S 0.315 0.161 0.477
Pd2 Pd 0.500 0.000 0.500
S4 S 0.846 0.685 0.161
Na1 Na 0.000 0.000 0.000
Np3 Np 0.500 0.000 0.000
S5 S 0.523 0.685 0.839
Pd3 Pd 0.000 0.500 0.500
S6 S 0.315 0.839 0.154
S7 S 0.154 0.315 0.839
Np4 Np 0.000 0.500 0.000
S8 S 0.161 0.477 0.315
S9 S 0.161 0.846 0.685
S10 S 0.477 0.315 0.161
S11 S 0.685 0.839 0.523
S12 S 0.839 0.523 0.685
```

Output
E_form (uncorrected) (eV per formula unit): -16.63
Magnetic moment (Bohr magnetons per cell): 11.01
Space group: Im-3, No. 204

First-principles (PBE) data for a relaxed structure of Na2Np3PdS6, as listed in the Alexandria database.

CIF file:
```
data_Na2Np3PdS6
_chemical_formula_sum 'Na2 Np3 Pd1 S6'
_symmetry_space_group_name_H-M 'P 1'
_symmetry_Int_Tables_number 1
_cell_length_a 6.954
_cell_length_b 6.954
_cell_length_c 6.598
_cell_angle_alpha 99.83
_cell_angle_beta 99.83
_cell_angle_gamma 120.06
loop_
_symmetry_equiv_pos_as_xyz
'x,y,z'
loop_
_atom_site_label
_atom_site_type_symbol
_atom_site_fract_x
_atom_site_fract_y
_atom_site_fract_z
Na1 Na 0.668 0.332 0.000
S1 S 0.424 0.091 0.268
Np1 Np 0.500 0.500 0.500
Np2 Np 0.164 0.836 0.500
S2 S 0.091 0.424 0.268
S3 S 0.757 0.757 0.262
Np3 Np 0.836 0.164 0.500
S4 S 0.909 0.576 0.732
Pd1 Pd 0.000 0.000 0.000
S5 S 0.576 0.909 0.732
S6 S 0.243 0.243 0.738
Na2 Na 0.332 0.668 0.000
```

Output
E_form (uncorrected) (eV per formula unit): -14.13
Magnetic moment (Bohr magnetons per cell): 11.00
Space group: C2/m, No. 12